Mg2AsRh2 | PBE | optimized geometry

Unit cell a=6.3292 b=6.3292 c=4.2487 alpha=90.00 beta=90.00 gamma=90.00
Positions (direct):
1 Rh 0.1536 0.3464 0.0000
2 Mg 0.1601 0.6601 0.5000
3 Rh 0.6536 0.1536 0.0000
4 As 0.0000 0.0000 0.0000
5 Rh 0.3464 0.8464 0.0000
6 Rh 0.8464 0.6536 0.0000
7 Mg 0.6601 0.8399 0.5000
8 Mg 0.8399 0.3399 0.5000
9 Mg 0.3399 0.1601 0.5000
10 As 0.5000 0.5000 0.0000

Calculated values
**Formation enthalpy at 0 K**: -0.5082 eV/atom
**Magnetic moment**: 0.0 μB per formula unit
**Space-group type**: P4/mbm (127)